1.
The following is a DFT calculation (PBE) of a relaxed structure of Tm6GaAu5.

Crystal system: orthorhombic
Calculated formation energy (eV/atom): -0.84

The structure in CIF format:
```
data_Tm6GaAu5
_cell_length_a 4.994
_cell_length_b 15.025
_cell_length_c 7.177
_cell_angle_alpha 90.00
_cell_angle_beta 90.00
_cell_angle_gamma 90.00
_symmetry_space_group_name_H-M 'C m m m'
_symmetry_Int_Tables_number 65
_symmetry_space_group_name_Hall '-C 2 2'
loop_
_atom_site_label
_atom_site_type_symbol
_atom_site_fract_x
_atom_site_fract_y
_atom_site_fract_z
Tm1 Tm 0.000 0.000 0.245
Tm2 Tm 0.000 0.333 0.250
Ga1 Ga 0.000 0.500 0.500
Au1 Au 0.000 0.159 0.500
Au2 Au 0.000 0.169 0.000
Au3 Au 0.000 0.500 0.000
```

2.
The following is a DFT calculation (PBE) of a relaxed structure of MgRe2P.

Crystal system: cubic
Calculated formation energy (eV/atom): 0.46
Energy above the lowest structure with this stoichiometry (meV/atom): 478.7

The structure in CIF format:
```
data_MgRe2P
_cell_length_a 6.066
_cell_length_b 6.066
_cell_length_c 6.066
_cell_angle_alpha 90.00
_cell_angle_beta 90.00
_cell_angle_gamma 90.00
_symmetry_space_group_name_H-M 'F m -3 m'
_symmetry_Int_Tables_number 225
_symmetry_space_group_name_Hall '-F 4 2 3'
loop_
_atom_site_label
_atom_site_type_symbol
_atom_site_fract_x
_atom_site_fract_y
_atom_site_fract_z
Mg1 Mg 0.000 0.000 0.000
Re1 Re 0.250 0.250 0.250
P1 P 0.000 0.000 0.500
```

3.
The following is a DFT calculation (PBE) of a relaxed structure of NiCN3.

Crystal system: cubic
ΔE_f (raw) (meV/atom): 3132

The structure in CIF format:
```
data_NiCN3
_cell_length_a 3.625
_cell_length_b 3.625
_cell_length_c 3.625
_cell_angle_alpha 90.00
_cell_angle_beta 90.00
_cell_angle_gamma 90.00
_symmetry_space_group_name_H-M 'P m -3 m'
_symmetry_Int_Tables_number 221
_symmetry_space_group_name_Hall '-P 4 2 3'
loop_
_atom_site_label
_atom_site_type_symbol
_atom_site_fract_x
_atom_site_fract_y
_atom_site_fract_z
Ni1 Ni 0.000 0.000 0.000
C1 C 0.500 0.500 0.500
N1 N 0.000 0.000 0.500
```

4.
The following is a DFT calculation (PBE) of a relaxed structure of LiAcTl2O4.

Crystal system: orthorhombic
ΔE_f (raw) (meV/atom): -1564

The structure in CIF format:
```
data_LiAcTl2O4
_cell_length_a 3.678
_cell_length_b 12.211
_cell_length_c 11.705
_cell_angle_alpha 90.00
_cell_angle_beta 90.00
_cell_angle_gamma 90.00
_symmetry_space_group_name_H-M 'C m c m'
_symmetry_Int_Tables_number 63
_symmetry_space_group_name_Hall '-C 2c 2'
loop_
_atom_site_label
_atom_site_type_symbol
_atom_site_fract_x
_atom_site_fract_y
_atom_site_fract_z
Li1 Li 0.000 0.202 0.250
Ac1 Ac 0.000 0.077 0.750
Tl1 Tl 0.000 0.372 0.546
O1 O 0.000 0.000 0.000
O2 O 0.000 0.326 0.141
O3 O 0.000 0.397 0.750
```